Entry 1:
Material: Rb2ReSe3
Method: DFT, PBE
State: optimized geometry

Computed properties:
The energy above the most stable polymorph in this dataset is 0.0 meV/atom. Its volume is 34.88 Å³ per atom.

a b c (Å): 7.1751 7.8544 8.9817
angles (deg): 74.17 67.51 64.50
Last column: nearest neighbours and their distance in Å.
Fractional positions:
Se: 0.2402 0.9800 0.4917  2 Re 2.39-2.41
Se: 0.8131 0.6299 0.2897  1 Re 2.38
Se: 0.1869 0.3701 0.7103  1 Re 2.38
Se: 0.7598 0.0200 0.5083  2 Re 2.39-2.41
Se: 0.3858 0.8215 0.8913  1 Re 2.38
Se: 0.6142 0.1785 0.1087  1 Re 2.38
Rb: 0.9051 0.8012 0.8750  7 Se 3.50-3.68
Rb: 0.6734 0.4216 0.6926  6 Se 3.46-3.67
Rb: 0.3266 0.5784 0.3074  6 Se 3.46-3.67
Rb: 0.0949 0.1988 0.1250  7 Se 3.50-3.68
Re: 0.3918 0.0500 0.6548  4 Se 2.38-2.41
Re: 0.6082 0.9500 0.3452  4 Se 2.38-2.41



Entry 2:
Material: Sr2LaPdPt2Pb3
Method: DFT, PBE
State: optimized geometry

Computed properties:
The value obtained for the raw total energy is -4.806 eV per atom. Its volume is 25.97 Å³ per atom.

a b c (Å): 4.1161 8.0678 8.0678
angles (deg): 119.25 90.00 90.00
Last column: nearest neighbours and their distance in Å.
Fractional positions:
Pt: 0.5000 0.6445 0.3370  3 Pb 2.99-3.21, 2 La 3.03, 4 Sr 3.26-3.30
Pt: 0.5000 0.3370 0.6445  3 Pb 2.99-3.21, 2 La 3.03, 4 Sr 3.26-3.30
Pd: 0.0000 0.0097 0.0097  6 Pb 2.90-2.95
Pb: 0.5000 0.2562 0.9967  2 Pd 2.90, 2 Pt 2.99-3.21
Pb: 0.5000 0.7499 0.7499  2 Pd 2.95, 2 Pt 3.01
Pb: 0.5000 0.9967 0.2562  2 Pd 2.90, 2 Pt 2.99-3.21
Sr: 0.0000 0.0003 0.5902  4 Pt 3.26-3.30, 1 Pd 3.35, 6 Pb 3.38-3.55
Sr: 0.0000 0.5902 0.0003  4 Pt 3.26-3.30, 1 Pd 3.35, 6 Pb 3.38-3.55
La: 0.0000 0.4155 0.4155  4 Pt 3.03, 1 Pd 3.31



Entry 3:
Material: SrHgTeO
Method: DFT, PBE
State: optimized geometry

Computed properties:
The energy above the most stable polymorph in this dataset is 12.8 meV/atom. Its volume is 27.08 Å³ per atom.

a b c (Å): 7.4125 8.1236 7.1967
angles (deg): 90.00 90.00 90.00
Last column: nearest neighbours and their distance in Å.
Fractional positions:
Hg: 0.9632 0.3510 0.0656  1 O 2.28
Hg: 0.4632 0.6490 0.0656  1 O 2.28
Hg: 0.0368 0.6490 0.5656  1 O 2.28
Hg: 0.5368 0.3510 0.5656  1 O 2.28
Sr: 0.6587 0.9456 0.4238  3 O 2.41-2.44
Sr: 0.3413 0.0544 0.9238  3 O 2.41-2.44
Sr: 0.8413 0.9456 0.9238  3 O 2.41-2.44
Sr: 0.1587 0.0544 0.4238  3 O 2.41-2.44
O: 0.4346 0.0887 0.6044  1 Hg 2.28, 3 Sr 2.41-2.44
O: 0.0654 0.0887 0.1044  1 Hg 2.28, 3 Sr 2.41-2.44
O: 0.5654 0.9113 0.1044  1 Hg 2.28, 3 Sr 2.41-2.44
O: 0.9346 0.9113 0.6044  1 Hg 2.28, 3 Sr 2.41-2.44
Te: 0.4245 0.6638 0.6562  3 Hg 2.75-2.96
Te: 0.5755 0.3362 0.1562  3 Hg 2.75-2.96
Te: 0.0755 0.6638 0.1562  3 Hg 2.75-2.96
Te: 0.9245 0.3362 0.6562  3 Hg 2.75-2.96



Entry 4:
Material: CoSnAuS3
Method: DFT, PBE
State: optimized geometry

Computed properties:
The value obtained for the raw total energy is -4.710 eV per atom. Its volume is 19.54 Å³ per atom.

a b c (Å): 7.5886 7.5886 9.0679
angles (deg): 90.00 90.00 153.32
Last column: nearest neighbours and their distance in Å.
Fractional positions:
Co: 0.0000 0.0000 0.0000  6 S 2.29-2.33
Co: 0.0000 0.0000 0.5000  6 S 2.29-2.33
Sn: 0.3344 0.6656 0.7500  4 S 2.59-2.67, 2 Au 2.78
Sn: 0.6656 0.3344 0.2500  4 S 2.59-2.67, 2 Au 2.78
S: 0.4012 0.5988 0.4760  2 Co 2.29, 1 Au 2.44
S: 0.5988 0.4012 0.5240  2 Co 2.29, 1 Au 2.44
S: 0.5988 0.4012 0.9760  2 Co 2.29, 1 Au 2.44
S: 0.9633 0.0367 0.7500  2 Co 2.33, 2 Sn 2.59
S: 0.0367 0.9633 0.2500  2 Co 2.33, 2 Sn 2.59
S: 0.4012 0.5988 0.0240  2 Co 2.29, 1 Au 2.44
Au: 0.3116 0.6884 0.2500  2 S 2.44
Au: 0.6884 0.3116 0.7500  2 S 2.44



Entry 5:
Material: LaPr
Method: DFT, PBE
State: optimized geometry

Computed properties:
The calculation puts the energy of formation from the pure elements at 0.027 eV per atom. The energy above the most stable polymorph in this dataset is 0.0 meV/atom. Its volume is 36.95 Å³ per atom.

a b c (Å): 3.7440 3.7439 6.0880
angles (deg): 90.00 90.00 120.00
Last column: nearest neighbours and their distance in Å.
Fractional positions:
Pr: 0.3333 0.6667 0.2500  6 La 3.73, 6 Pr 3.74
La: 0.6667 0.3333 0.7500  6 Pr 3.73, 6 La 3.74



Entry 6:
Material: SrNdAuO3
Method: DFT, PBE
State: optimized geometry

Computed properties:
The value obtained for the raw total energy is -6.373 eV per atom. Its volume is 18.04 Å³ per atom.

a b c (Å): 6.7669 6.7669 8.7046
angles (deg): 90.00 90.00 32.89
Last column: nearest neighbours and their distance in Å.
Fractional positions:
O: 0.9300 0.9300 0.7500  2 Nd 2.36, 2 Sr 2.40
O: 0.6178 0.6178 0.9815  1 Au 2.02
O: 0.3822 0.3822 0.0185  1 Au 2.02
O: 0.6178 0.6178 0.5185  1 Au 2.02
O: 0.0700 0.0700 0.2500  2 Nd 2.36, 2 Sr 2.40
O: 0.3822 0.3822 0.4815  1 Au 2.02
Sr: 0.3190 0.3190 0.7500  4 O 2.40-2.48
Sr: 0.6810 0.6810 0.2500  4 O 2.40-2.48
Nd: 0.0000 0.0000 0.0000  6 O 2.36-2.46
Nd: 0.0000 0.0000 0.5000  6 O 2.36-2.46
Au: 0.3778 0.3778 0.2500  2 O 2.02
Au: 0.6222 0.6222 0.7500  2 O 2.02



Entry 7:
Material: BeBSbOs
Method: DFT, PBE
State: optimized geometry

Computed properties:
The energy above the most stable polymorph in this dataset is 200.8 meV/atom. Its volume is 14.02 Å³ per atom.

a b c (Å): 4.2960 4.2960 4.2960
angles (deg): 60.00 60.00 60.00
Last column: nearest neighbours and their distance in Å.
Fractional positions:
Sb: 0.2500 0.2500 0.2500  4 Os 2.63, 4 B 2.63
Be: 0.7500 0.7500 0.7500  4 B 2.63, 4 Os 2.63
Os: 0.0000 0.0000 0.0000  4 Sb 2.63, 4 Be 2.63
B: 0.5000 0.5000 0.5000  4 Be 2.63, 4 Sb 2.63



Entry 8:
Material: HfGaB
Method: DFT, PBE
State: optimized geometry

Computed properties:
The energy above the most stable polymorph in this dataset is 673.8 meV/atom. Its volume is 17.46 Å³ per atom.

a b c (Å): 4.2001 4.2001 4.2001
angles (deg): 60.00 60.00 60.00
Last column: nearest neighbours and their distance in Å.
Fractional positions:
Hf: 0.2500 0.2500 0.2500  4 Ga 2.57, 4 B 2.57
B: 0.5000 0.5000 0.5000  4 Hf 2.57
Ga: 0.0000 0.0000 0.0000  4 Hf 2.57



Among the records above, which one has the lowest volume?
BeBSbOs